# 1
PBEsol MgTl2Se, relaxed; VASP energy = -12.08 eV per formula unit; symmetry = No. 6; raw formation energy = -0.31 eV per atom
1.0
3.936 0.000 0.000
0.000 4.762 -0.026
0.000 -2.373 5.732
Tl Se Mg
2 1 1
Direct
0.000 0.899 0.925
0.500 0.593 0.310
0.500 0.325 0.783
0.000 0.183 0.483

***

# 2
PBEsol Mg2TlSe, relaxed; VASP energy = -11.56 eV per formula unit; symmetry = No. 122; raw formation energy = -0.41 eV per atom; energy above the lowest structure with this stoichiometry = 156 meV per atom
1.0
6.321 -0.023 0.000
-2.878 5.628 0.000
-1.722 -2.803 5.398
Tl Mg Se
2 4 2
Direct
0.250 0.750 0.500
0.000 0.000 0.000
0.625 0.163 0.038
0.413 0.375 0.538
0.125 0.587 0.962
0.837 0.875 0.462
0.500 0.500 0.000
0.750 0.250 0.500

***

# 3
PBEsol MgTl2Se, relaxed; VASP energy = -12.28 eV per formula unit; symmetry = No. 71; raw formation energy = -0.36 eV per atom
1.0
3.688 0.000 0.000
0.000 3.753 0.000
-1.844 -1.877 7.666
Mg Tl Se
1 2 1
Direct
0.000 0.500 0.000
0.318 0.318 0.636
0.682 0.682 0.364
0.500 0.000 0.000

***

# 4
PBEsol Mg2TlSe2, relaxed; VASP energy = -17.21 eV per formula unit; symmetry = No. 139; raw formation energy = -0.69 eV per atom
1.0
4.457 0.000 0.000
0.000 4.457 0.000
-2.228 -2.228 6.434
Se Mg Tl
2 2 1
Direct
0.640 0.640 0.280
0.360 0.360 0.720
0.250 0.750 0.500
0.750 0.250 0.500
0.000 0.000 0.000